Run w
GaB3Br: relaxed, PBE.

abc: 4.3172 4.3172 4.3172
angles: 90.00 90.00 90.00
Atoms (fractional coordinates):
Ga  0.0000  0.0000  0.0000
B  0.0000  0.0000  0.5000
B  0.0000  0.5000  0.0000
B  0.5000  0.0000  0.0000
Br  0.5000  0.5000  0.5000

Results
Crystal system: cubic



Run x
GaB3Br: relaxed, PBE.

abc: 4.1877 4.1877 4.1877
angles: 90.00 90.00 90.00
Atoms (fractional coordinates):
Ga  0.0000  0.0000  0.0000
B  0.0000  0.5000  0.5000
B  0.5000  0.0000  0.5000
B  0.5000  0.5000  0.0000
Br  0.5000  0.5000  0.5000

Results
Crystal system: cubic



Q: Which of them is the least stable? A: run x.



Run w
GaBSeBr2: relaxed, PBE.

abc: 5.1700 5.1700 5.0506
angles: 90.00 90.00 90.00
Atoms (fractional coordinates):
Ga  0.0000  0.0000  0.0000
B  0.5000  0.5000  0.5000
Se  0.0000  0.0000  0.5000
Br  0.0000  0.5000  0.0000
Br  0.5000  0.0000  0.0000

Results
Crystal system: tetragonal



Run x
GaBSeBr2: relaxed, PBE.

abc: 5.2933 5.2933 4.1327
angles: 90.00 90.00 90.00
Atoms (fractional coordinates):
Ga  0.0000  0.0000  0.0000
B  0.5000  0.5000  0.5000
Se  0.5000  0.5000  0.0000
Br  0.0000  0.5000  0.5000
Br  0.5000  0.0000  0.5000

Results
Crystal system: tetragonal



Q: Which of them is the least stable? A: run w.